The following is a PBE calculation of a geometry-optimized CoGe2Rh4 structure, from Alexandria via LeMat-Bulk.

The structure in POSCAR format:
```
CoGe2Rh4
1.0
3.967 0.000 1.239
1.790 3.540 1.239
-0.086 -0.053 7.243
Rh Ge Co
4 2 1
direct
0.875 0.875 0.374
0.125 0.125 0.626
0.626 0.626 0.123
0.374 0.374 0.877
0.754 0.754 0.739
0.246 0.246 0.261
0.000 0.000 0.000
```

## Properties
The formation energy is -0.321 eV/atom. The space group is R-3m. Its magnetic moment is 2.60 μB/cell.